{"formula": "La2GeRhI", "functional": "GGA-PBE", "state": "relaxed", "cell": [[5.5440, 0.0000, 0.0000], [0.0000, 5.0992, 0.0000], [0.0000, 0.0000, 5.5440]], "species": ["Ge", "Rh", "La", "La", "I"], "fractional_positions": [[0.5000, 0.5000, 0.5000], [0.0000, 0.0000, 0.0000], [0.0000, 0.0000, 0.5000], [0.5000, 0.0000, 0.0000], [0.0000, 0.5000, 0.0000]], "formation_energy_uncorrected_ev_per_atom": -0.271, "dos_at_fermi_per_ev_cell": 6.204}

{"formula": "Cs3InPb", "functional": "GGA-PBE", "state": "relaxed", "cell": [[6.9105, 0.0000, 0.0000], [-3.4553, 5.9900, 0.0000], [0.0000, 0.0000, 12.4927]], "species": ["Cs", "Cs", "Cs", "Cs", "Cs", "Cs", "Pb", "Pb", "In", "In"], "fractional_positions": [[0.8435, 0.3347, 0.5853], [0.8435, 0.3347, 0.9147], [0.5088, 0.6653, 0.0853], [0.5115, 0.6706, 0.7500], [0.5088, 0.6653, 0.4147], [0.8409, 0.3294, 0.2500], [0.1762, 0.0000, 0.0000], [0.1762, 0.0000, 0.5000], [0.1780, 0.0035, 0.7500], [0.1745, 0.9965, 0.2500]], "dos_at_fermi_per_ev_cell": 6.916, "de_polymorph_mev_per_atom": 0.0, "formation_energy_kcal_per_mol_atoms": -1.326}

{"formula": "CaPtAu2", "functional": "GGA-PBE", "state": "relaxed", "cell": [[4.9668, -0.0007, -0.0021], [-2.4243, 5.2672, -0.0268], [0.1182, 0.9292, 2.9597]], "species": ["Au", "Au", "Ca", "Pt"], "fractional_positions": [[0.5000, 0.0000, 0.5000], [0.0000, 0.0000, 0.0000], [0.0000, 0.5000, 0.5000], [0.5000, 0.5000, 0.0000]], "dos_at_fermi_per_ev_cell": 1.288, "de_polymorph_mev_per_atom": 220.1, "formation_energy_kcal_per_mol_atoms": -8.069}

{"formula": "Pm4Tl3Ge", "functional": "GGA-PBE", "state": "relaxed", "cell": [[4.6149, 0.0000, 0.0000], [0.0000, 4.3797, 0.0000], [0.0000, 0.0000, 11.6542]], "species": ["Pm", "Pm", "Pm", "Pm", "Tl", "Tl", "Tl", "Ge"], "fractional_positions": [[0.0000, 0.0000, 0.1341], [0.5000, 0.0000, 0.6374], [0.0000, 0.5000, 0.8715], [0.5000, 0.5000, 0.3513], [0.0000, 0.0000, 0.4089], [0.5000, 0.0000, 0.9177], [0.0000, 0.5000, 0.5928], [0.5000, 0.5000, 0.0861]], "dos_at_fermi_per_ev_cell": 8.537, "formation_energy_kcal_per_mol_atoms": -10.541}

{"formula": "LaPa2Pt5", "functional": "GGA-PBE", "state": "relaxed", "cell": [[3.8364, 0.0000, -1.6697], [-1.4143, 5.5641, -3.2495], [0.9465, 0.6615, 7.4169]], "species": ["Pt", "Pt", "Pt", "Pt", "Pt", "Pa", "Pa", "La"], "fractional_positions": [[0.3860, 0.6029, 0.7719], [0.6140, 0.3971, 0.2281], [0.0000, 0.5000, 0.0000], [0.3860, 0.1690, 0.7719], [0.6140, 0.8310, 0.2281], [0.2257, 0.7257, 0.4515], [0.7743, 0.2743, 0.5485], [0.0000, 0.0000, 0.0000]], "dos_at_fermi_per_ev_cell": 5.982, "formation_energy_kcal_per_mol_atoms": -24.335}

{"formula": "NaBi12Pd7", "functional": "GGA-PBE", "state": "relaxed", "cell": [[9.0138, -0.4523, -0.6789], [-2.9408, 8.5325, -0.6789], [-2.9408, -3.9129, 7.6128]], "species": ["Pd", "Pd", "Pd", "Pd", "Pd", "Pd", "Pd", "Bi", "Bi", "Bi", "Bi", "Bi", "Bi", "Bi", "Bi", "Bi", "Bi", "Bi", "Bi", "Na"], "fractional_positions": [[0.2320, 0.1267, 0.4553], [0.8733, 0.5447, 0.7680], [0.5447, 0.7680, 0.8733], [0.1267, 0.4553, 0.2320], [0.4553, 0.2320, 0.1267], [0.5000, 0.5000, 0.5000], [0.7680, 0.8733, 0.5447], [0.8350, 0.5828, 0.4640], [0.8171, 0.9258, 0.2652], [0.0742, 0.7348, 0.1829], [0.7348, 0.1829, 0.0742], [0.1650, 0.4172, 0.5360], [0.4172, 0.5360, 0.1650], [0.5828, 0.4640, 0.8350], [0.5360, 0.1650, 0.4172], [0.4640, 0.8350, 0.5828], [0.2652, 0.8171, 0.9258], [0.1829, 0.0742, 0.7348], [0.9258, 0.2652, 0.8171], [0.0000, 0.0000, 0.0000]], "dos_at_fermi_per_ev_cell": 10.910, "formation_energy_kcal_per_mol_atoms": -4.663}

{"formula": "TlFe4Cu", "functional": "GGA-PBE", "state": "relaxed", "cell": [[0.0000, 3.4786, 3.4786], [3.4786, 0.0000, 3.4786], [3.4786, 3.4786, 0.0000]], "species": ["Tl", "Fe", "Fe", "Fe", "Fe", "Cu"], "fractional_positions": [[0.7500, 0.7500, 0.7500], [0.3742, 0.3742, 0.8775], [0.3742, 0.3742, 0.3742], [0.3742, 0.8775, 0.3742], [0.8775, 0.3742, 0.3742], [0.0000, 0.0000, 0.0000]], "dos_at_fermi_per_ev_cell": 5.173, "formation_energy_kcal_per_mol_atoms": 8.707}

{"formula": "Na2AgBr4", "functional": "GGA-PBE", "state": "relaxed", "cell": [[7.2630, 0.0000, 0.0000], [0.0000, 8.2356, 0.0000], [0.0000, 0.0000, 13.8749]], "species": ["Na", "Na", "Na", "Na", "Na", "Na", "Na", "Na", "Br", "Br", "Br", "Br", "Br", "Br", "Br", "Br", "Br", "Br", "Br", "Br", "Br", "Br", "Br", "Br", "Ag", "Ag", "Ag", "Ag"], "fractional_positions": [[0.5066, 0.1206, 0.3578], [0.9934, 0.6206, 0.3578], [0.4934, 0.8794, 0.6422], [0.0066, 0.1206, 0.1422], [0.5066, 0.3794, 0.8578], [0.9934, 0.8794, 0.8578], [0.4934, 0.6206, 0.1422], [0.0066, 0.3794, 0.6422], [0.1335, 0.4637, 0.1762], [0.7017, 0.3373, 0.0543], [0.2983, 0.8373, 0.4457], [0.6334, 0.4637, 0.3238], [0.7983, 0.8373, 0.0543], [0.2983, 0.6627, 0.9457], [0.1335, 0.0363, 0.6762], [0.8666, 0.5363, 0.8238], [0.7983, 0.6627, 0.5543], [0.3666, 0.9637, 0.1762], [0.2017, 0.3373, 0.4457], [0.6334, 0.0363, 0.8238], [0.7017, 0.1627, 0.5543], [0.3666, 0.5363, 0.6762], [0.2017, 0.1627, 0.9457], [0.8666, 0.9637, 0.3238], [0.0000, 0.0000, 0.5000], [0.5000, 0.0000, 0.0000], [0.0000, 0.5000, 0.0000], [0.5000, 0.5000, 0.5000]], "formation_energy_uncorrected_ev_per_atom": -0.962, "dos_at_fermi_per_ev_cell": 11.048, "de_polymorph_mev_per_atom": 0.0}

{"formula": "PrSm4Y", "functional": "GGA-PBE", "state": "relaxed", "cell": [[6.6884, 0.0000, 0.0000], [3.3442, 5.7924, 0.0000], [3.3442, 1.9308, 5.4611]], "species": ["Pr", "Sm", "Sm", "Sm", "Sm", "Y"], "fractional_positions": [[0.2500, 0.2500, 0.2500], [0.1232, 0.6256, 0.6256], [0.6256, 0.6256, 0.1232], [0.6256, 0.1232, 0.6256], [0.6256, 0.6256, 0.6256], [0.0000, 0.0000, 0.0000]], "dos_at_fermi_per_ev_cell": 9.948, "de_polymorph_mev_per_atom": 229.5, "formation_energy_kcal_per_mol_atoms": 5.623}

{"formula": "Pr3Ga4Pt2", "functional": "GGA-PBE", "state": "relaxed", "cell": [[-3.9497, 1.9361, 0.2485], [-0.4241, -5.8755, -0.0179], [1.8257, 2.6514, 8.3593]], "species": ["Pr", "Pr", "Pr", "Ga", "Ga", "Ga", "Ga", "Pt", "Pt"], "fractional_positions": [[0.3743, 0.7486, 0.3106], [0.6257, 0.2514, 0.6894], [0.0000, 0.0000, 0.0000], [0.1181, 0.2361, 0.4252], [0.8819, 0.7639, 0.5748], [0.2757, 0.5514, 0.9382], [0.7243, 0.4486, 0.0618], [0.3427, 0.6854, 0.6923], [0.6573, 0.3146, 0.3077]], "dos_at_fermi_per_ev_cell": 6.943, "de_polymorph_mev_per_atom": 46.7, "formation_energy_kcal_per_mol_atoms": -19.447}

{"formula": "Li3O2F2", "functional": "GGA-PBE", "state": "relaxed", "cell": [[0.1926, 0.4530, -3.2683], [0.8699, -3.1150, 0.6792], [-6.9938, -0.8054, 0.8395]], "species": ["F", "F", "O", "O", "Li", "Li", "Li"], "fractional_positions": [[0.7703, 0.8795, 0.6496], [0.2297, 0.1205, 0.3504], [0.4306, 0.6284, 0.0590], [0.5694, 0.3716, 0.9410], [0.3954, 0.2422, 0.6380], [0.6046, 0.7578, 0.3620], [0.0000, 0.0000, 0.0000]], "formation_energy_uncorrected_ev_per_atom": -1.995, "dos_at_fermi_per_ev_cell": 1.013}